# BaTiN PBE optimized geometry
data_BaTiN
_chemical_formula_sum 'Ba2 Ti2 N2'
_symmetry_space_group_name_H-M 'P 1'
_symmetry_Int_Tables_number 1
_cell_length_a 3.504
_cell_length_b 6.138
_cell_length_c 7.170
_cell_angle_alpha 110.09
_cell_angle_beta 90.00
_cell_angle_gamma 90.00
loop_
_symmetry_equiv_pos_as_xyz
'x,y,z'
loop_
_atom_site_label
_atom_site_fract_x
_atom_site_fract_y
_atom_site_fract_z
_atom_site_occupancy
Ti1 0.750 0.141 0.138 1
Ti2 0.250 0.859 0.862 1
Ba1 0.750 0.315 0.725 1
Ba2 0.250 0.685 0.275 1
N1 0.750 0.805 0.971 1
N2 0.250 0.195 0.029 1
# - Space group: P2_1/m
# - Raw formation energy: -0.621 eV per atom

=====

# Ba3TiN3 PBE optimized geometry
data_Ba3TiN3
_chemical_formula_sum 'Ba6 Ti2 N6'
_symmetry_space_group_name_H-M 'P 1'
_symmetry_Int_Tables_number 1
_cell_length_a 10.230
_cell_length_b 10.230
_cell_length_c 4.508
_cell_angle_alpha 90.00
_cell_angle_beta 90.00
_cell_angle_gamma 120.00
loop_
_symmetry_equiv_pos_as_xyz
'x,y,z'
loop_
_atom_site_label
_atom_site_fract_x
_atom_site_fract_y
_atom_site_fract_z
_atom_site_occupancy
Ti1 0.333 0.667 0.250 1
Ti2 0.667 0.333 0.750 1
Ba1 0.653 0.659 0.750 1
Ba2 0.659 0.006 0.250 1
Ba3 0.994 0.653 0.250 1
Ba4 0.347 0.341 0.250 1
Ba5 0.006 0.347 0.750 1
Ba6 0.341 0.994 0.750 1
N1 0.517 0.665 0.250 1
N2 0.852 0.517 0.750 1
N3 0.148 0.483 0.250 1
N4 0.335 0.852 0.250 1
N5 0.483 0.335 0.750 1
N6 0.665 0.148 0.750 1
# - Offset from the most stable computed form: 0 meV per atom
# - Space group: P6_3/m
# - Raw formation energy: -0.779 eV per atom

=====

# Ba3TiN3 PBE optimized geometry
data_Ba3TiN3
_chemical_formula_sum 'Ba12 Ti4 N12'
_symmetry_space_group_name_H-M 'P 1'
_symmetry_Int_Tables_number 1
_cell_length_a 9.268
_cell_length_b 8.920
_cell_length_c 10.162
_cell_angle_alpha 90.00
_cell_angle_beta 90.00
_cell_angle_gamma 121.30
loop_
_symmetry_equiv_pos_as_xyz
'x,y,z'
loop_
_atom_site_label
_atom_site_fract_x
_atom_site_fract_y
_atom_site_fract_z
_atom_site_occupancy
Ba1 0.787 0.000 0.350 1
Ba2 0.660 0.659 0.623 1
Ba3 0.499 0.659 0.123 1
Ba4 0.713 0.000 0.850 1
Ba5 0.160 0.659 0.877 1
Ba6 0.001 0.341 0.623 1
Ba7 0.340 0.341 0.377 1
Ba8 0.213 0.000 0.650 1
Ba9 0.287 0.000 0.150 1
Ba10 0.999 0.659 0.377 1
Ba11 0.840 0.341 0.123 1
Ba12 0.501 0.341 0.877 1
N1 0.490 0.685 0.403 1
N2 0.305 0.315 0.097 1
N3 0.195 0.685 0.597 1
N4 0.990 0.685 0.097 1
N5 0.396 0.000 0.404 1
N6 0.104 0.000 0.904 1
N7 0.010 0.315 0.903 1
N8 0.510 0.315 0.597 1
N9 0.805 0.315 0.403 1
N10 0.896 0.000 0.096 1
N11 0.604 0.000 0.596 1
N12 0.695 0.685 0.903 1
Ti1 0.593 0.186 0.500 1
Ti2 0.093 0.186 0.000 1
Ti3 0.407 0.814 0.500 1
Ti4 0.907 0.814 0.000 1
# - Offset from the most stable computed form: 6 meV per atom
# - Space group: Cmce
# - Raw formation energy: -0.773 eV per atom

=====

# BaTi3N PBE optimized geometry
data_BaTi3N
_chemical_formula_sum 'Ba1 Ti3 N1'
_symmetry_space_group_name_H-M 'P 1'
_symmetry_Int_Tables_number 1
_cell_length_a 4.939
_cell_length_b 4.939
_cell_length_c 4.939
_cell_angle_alpha 90.00
_cell_angle_beta 90.00
_cell_angle_gamma 90.00
loop_
_symmetry_equiv_pos_as_xyz
'x,y,z'
loop_
_atom_site_label
_atom_site_fract_x
_atom_site_fract_y
_atom_site_fract_z
_atom_site_occupancy
Ba1 0.000 0.000 0.000 1
Ti1 0.000 0.000 0.500 1
Ti2 0.000 0.500 0.000 1
Ti3 0.500 0.000 0.000 1
N1 0.500 0.500 0.500 1
# - Offset from the most stable computed form: 2784 meV per atom
# - Space group: Pm-3m
# - Raw formation energy: 2.854 eV per atom

=====

# BaTiN3 PBE optimized geometry
data_BaTiN3
_chemical_formula_sum 'Ba1 Ti1 N3'
_symmetry_space_group_name_H-M 'P 1'
_symmetry_Int_Tables_number 1
_cell_length_a 4.377
_cell_length_b 4.377
_cell_length_c 4.377
_cell_angle_alpha 90.00
_cell_angle_beta 90.00
_cell_angle_gamma 90.00
loop_
_symmetry_equiv_pos_as_xyz
'x,y,z'
loop_
_atom_site_label
_atom_site_fract_x
_atom_site_fract_y
_atom_site_fract_z
_atom_site_occupancy
N1 0.000 0.500 0.000 1
N2 0.500 0.000 0.000 1
N3 0.000 0.000 0.500 1
Ti1 0.500 0.500 0.500 1
Ba1 0.000 0.000 0.000 1
# - Space group: Pm-3m
# - Raw formation energy: 2.255 eV per atom

=====

# BaTi3N PBE optimized geometry
data_BaTi3N
_chemical_formula_sum 'Ba1 Ti3 N1'
_symmetry_space_group_name_H-M 'P 1'
_symmetry_Int_Tables_number 1
_cell_length_a 4.406
_cell_length_b 4.406
_cell_length_c 4.406
_cell_angle_alpha 90.00
_cell_angle_beta 90.00
_cell_angle_gamma 90.00
loop_
_symmetry_equiv_pos_as_xyz
'x,y,z'
loop_
_atom_site_label
_atom_site_fract_x
_atom_site_fract_y
_atom_site_fract_z
_atom_site_occupancy
Ti1 0.000 0.000 0.500 1
Ti2 0.000 0.500 0.000 1
Ti3 0.500 0.000 0.000 1
N1 0.000 0.000 0.000 1
Ba1 0.500 0.500 0.500 1
# - Offset from the most stable computed form: 0 meV per atom
# - Space group: Pm-3m
# - Raw formation energy: 0.070 eV per atom

=====

# Ba3Ti3N5 PBE optimized geometry
data_Ba3Ti3N5
_chemical_formula_sum 'Ba6 Ti6 N10'
_symmetry_space_group_name_H-M 'P 1'
_symmetry_Int_Tables_number 1
_cell_length_a 6.159
_cell_length_b 7.782
_cell_length_c 9.153
_cell_angle_alpha 108.18
_cell_angle_beta 101.28
_cell_angle_gamma 96.71
loop_
_symmetry_equiv_pos_as_xyz
'x,y,z'
loop_
_atom_site_label
_atom_site_fract_x
_atom_site_fract_y
_atom_site_fract_z
_atom_site_occupancy
N1 0.830 0.215 0.131 1
N2 0.614 0.057 0.385 1
N3 0.958 0.116 0.783 1
N4 0.834 0.762 0.546 1
N5 0.170 0.785 0.869 1
N6 0.206 0.474 0.069 1
N7 0.386 0.943 0.615 1
N8 0.042 0.884 0.217 1
N9 0.794 0.526 0.931 1
N10 0.166 0.238 0.454 1
Ti1 0.911 0.313 0.968 1
Ti2 0.089 0.687 0.032 1
Ti3 0.703 0.983 0.584 1
Ti4 0.297 0.017 0.416 1
Ti5 0.887 0.103 0.294 1
Ti6 0.113 0.897 0.706 1
Ba1 0.831 0.443 0.621 1
Ba2 0.350 0.340 0.779 1
Ba3 0.648 0.856 0.877 1
Ba4 0.650 0.660 0.221 1
Ba5 0.352 0.144 0.123 1
Ba6 0.169 0.557 0.379 1
# - Space group: P-1
# - Raw formation energy: -1.069 eV per atom

=====

# BaTiN3 PBE optimized geometry
data_BaTiN3
_chemical_formula_sum 'Ba1 Ti1 N3'
_symmetry_space_group_name_H-M 'P 1'
_symmetry_Int_Tables_number 1
_cell_length_a 4.124
_cell_length_b 4.124
_cell_length_c 4.124
_cell_angle_alpha 90.00
_cell_angle_beta 90.00
_cell_angle_gamma 90.00
loop_
_symmetry_equiv_pos_as_xyz
'x,y,z'
loop_
_atom_site_label
_atom_site_fract_x
_atom_site_fract_y
_atom_site_fract_z
_atom_site_occupancy
N1 0.500 0.000 0.000 1
N2 0.000 0.000 0.500 1
N3 0.000 0.500 0.000 1
Ba1 0.500 0.500 0.500 1
Ti1 0.000 0.000 0.000 1
# - Space group: Pm-3m
# - Raw formation energy: -0.305 eV per atom

=====

# Ba3TiN PBE optimized geometry
data_Ba3TiN
_chemical_formula_sum 'Ba3 Ti1 N1'
_symmetry_space_group_name_H-M 'P 1'
_symmetry_Int_Tables_number 1
_cell_length_a 5.647
_cell_length_b 5.647
_cell_length_c 5.647
_cell_angle_alpha 90.00
_cell_angle_beta 90.00
_cell_angle_gamma 90.00
loop_
_symmetry_equiv_pos_as_xyz
'x,y,z'
loop_
_atom_site_label
_atom_site_fract_x
_atom_site_fract_y
_atom_site_fract_z
_atom_site_occupancy
Ti1 0.500 0.500 0.500 1
Ba1 0.500 0.000 0.000 1
Ba2 0.000 0.000 0.500 1
Ba3 0.000 0.500 0.000 1
N1 0.000 0.000 0.000 1
# - Offset from the most stable computed form: 0 meV per atom
# - Space group: Pm-3m
# - Raw formation energy: 0.429 eV per atom

=====

# BaY2TiN4 PBE optimized geometry
data_BaY2TiN4
_chemical_formula_sum 'Ba2 Y4 Ti2 N8'
_symmetry_space_group_name_H-M 'P 1'
_symmetry_Int_Tables_number 1
_cell_length_a 3.529
_cell_length_b 6.408
_cell_length_c 11.961
_cell_angle_alpha 90.00
_cell_angle_beta 90.00
_cell_angle_gamma 105.98
loop_
_symmetry_equiv_pos_as_xyz
'x,y,z'
loop_
_atom_site_label
_atom_site_fract_x
_atom_site_fract_y
_atom_site_fract_z
_atom_site_occupancy
Y1 0.370 0.740 0.961 1
Y2 0.630 0.260 0.039 1
Y3 0.630 0.260 0.461 1
Y4 0.370 0.740 0.539 1
N1 0.000 0.000 0.000 1
N2 0.255 0.511 0.118 1
N3 0.406 0.812 0.750 1
N4 0.745 0.489 0.882 1
N5 0.255 0.511 0.382 1
N6 0.745 0.489 0.618 1
N7 0.594 0.188 0.250 1
N8 0.000 0.000 0.500 1
Ti1 0.171 0.342 0.250 1
Ti2 0.829 0.658 0.750 1
Ba1 0.098 0.196 0.750 1
Ba2 0.902 0.804 0.250 1
# - Space group: Cmcm
# - Raw formation energy: -1.424 eV per atom

=====

# Ba2YTiN PBE optimized geometry
data_Ba2YTiN
_chemical_formula_sum 'Ba2 Y1 Ti1 N1'
_symmetry_space_group_name_H-M 'P 1'
_symmetry_Int_Tables_number 1
_cell_length_a 6.958
_cell_length_b 4.201
_cell_length_c 6.958
_cell_angle_alpha 90.00
_cell_angle_beta 90.00
_cell_angle_gamma 90.00
loop_
_symmetry_equiv_pos_as_xyz
'x,y,z'
loop_
_atom_site_label
_atom_site_fract_x
_atom_site_fract_y
_atom_site_fract_z
_atom_site_occupancy
Ba1 0.500 0.000 0.000 1
Ba2 0.000 0.000 0.500 1
Ti1 0.500 0.500 0.500 1
N1 0.000 0.500 0.000 1
Y1 0.000 0.000 0.000 1
# - Space group: P4/mmm
# - Raw formation energy: 0.819 eV per atom

=====

# BaTiZn2N PBE optimized geometry
data_BaTiZn2N
_chemical_formula_sum 'Ba1 Ti1 Zn2 N1'
_symmetry_space_group_name_H-M 'P 1'
_symmetry_Int_Tables_number 1
_cell_length_a 5.452
_cell_length_b 3.863
_cell_length_c 5.452
_cell_angle_alpha 90.00
_cell_angle_beta 90.00
_cell_angle_gamma 90.00
loop_
_symmetry_equiv_pos_as_xyz
'x,y,z'
loop_
_atom_site_label
_atom_site_fract_x
_atom_site_fract_y
_atom_site_fract_z
_atom_site_occupancy
Zn1 0.500 0.000 0.000 1
Zn2 0.000 0.000 0.500 1
Ba1 0.500 0.500 0.500 1
N1 0.000 0.000 0.000 1
Ti1 0.000 0.500 0.000 1
# - Space group: P4/mmm
# - Raw formation energy: 0.194 eV per atom

=====

# BaZrTi2N PBE optimized geometry
data_BaZrTi2N
_chemical_formula_sum 'Ba1 Zr1 Ti2 N1'
_symmetry_space_group_name_H-M 'P 1'
_symmetry_Int_Tables_number 1
_cell_length_a 4.355
_cell_length_b 4.890
_cell_length_c 4.355
_cell_angle_alpha 90.00
_cell_angle_beta 90.00
_cell_angle_gamma 90.00
loop_
_symmetry_equiv_pos_as_xyz
'x,y,z'
loop_
_atom_site_label
_atom_site_fract_x
_atom_site_fract_y
_atom_site_fract_z
_atom_site_occupancy
Ti1 0.500 0.000 0.000 1
Ti2 0.000 0.000 0.500 1
Zr1 0.000 0.500 0.000 1
N1 0.000 0.000 0.000 1
Ba1 0.500 0.500 0.500 1
# - Space group: P4/mmm
# - Raw formation energy: 0.029 eV per atom

=====

# Ba8TlN2 PBE optimized geometry
data_Ba8TlN2
_chemical_formula_sum 'Ba8 Tl1 N2'
_symmetry_space_group_name_H-M 'P 1'
_symmetry_Int_Tables_number 1
_cell_length_a 7.669
_cell_length_b 9.802
_cell_length_c 9.802
_cell_angle_alpha 58.50
_cell_angle_beta 84.13
_cell_angle_gamma 84.13
loop_
_symmetry_equiv_pos_as_xyz
'x,y,z'
loop_
_atom_site_label
_atom_site_fract_x
_atom_site_fract_y
_atom_site_fract_z
_atom_site_occupancy
Ba1 0.298 0.826 0.826 1
Ba2 0.267 0.318 0.897 1
Ba3 0.762 0.681 0.681 1
Ba4 0.733 0.682 0.103 1
Ba5 0.702 0.174 0.174 1
Ba6 0.238 0.319 0.319 1
Ba7 0.267 0.897 0.318 1
Ba8 0.733 0.103 0.682 1
Tl1 0.000 0.000 0.000 1
N1 0.632 0.820 0.820 1
N2 0.368 0.180 0.180 1
# - Space group: C2/m
# - Raw formation energy: -0.241 eV per atom

=====

# Ba12Tl5N2 PBE optimized geometry
data_Ba12Tl5N2
_chemical_formula_sum 'Ba12 Tl5 N2'
_symmetry_space_group_name_H-M 'P 1'
_symmetry_Int_Tables_number 1
_cell_length_a 8.961
_cell_length_b 10.296
_cell_length_c 11.309
_cell_angle_alpha 105.45
_cell_angle_beta 90.00
_cell_angle_gamma 115.80
loop_
_symmetry_equiv_pos_as_xyz
'x,y,z'
loop_
_atom_site_label
_atom_site_fract_x
_atom_site_fract_y
_atom_site_fract_z
_atom_site_occupancy
Ba1 0.598 0.692 0.425 1
Ba2 0.503 0.005 0.817 1
Ba3 0.497 0.995 0.183 1
Ba4 0.412 0.304 0.077 1
Ba5 0.095 0.692 0.425 1
Ba6 0.001 0.002 0.830 1
Ba7 0.905 0.308 0.575 1
Ba8 0.402 0.308 0.575 1
Ba9 0.892 0.304 0.077 1
Ba10 0.588 0.696 0.923 1
Ba11 0.999 0.998 0.170 1
Ba12 0.108 0.696 0.923 1
Tl1 0.685 0.370 0.349 1
Tl2 0.308 0.616 0.163 1
Tl3 0.000 0.000 0.500 1
Tl4 0.315 0.630 0.651 1
Tl5 0.692 0.384 0.837 1
N1 0.781 0.000 0.000 1
N2 0.219 0.000 0.000 1
# - Space group: C2/m
# - Raw formation energy: -0.221 eV per atom

=====

# Ba4Tl2N PBE optimized geometry
data_Ba4Tl2N
_chemical_formula_sum 'Ba4 Tl2 N1'
_symmetry_space_group_name_H-M 'P 1'
_symmetry_Int_Tables_number 1
_cell_length_a 4.295
_cell_length_b 7.574
_cell_length_c 9.020
_cell_angle_alpha 104.27
_cell_angle_beta 103.77
_cell_angle_gamma 90.00
loop_
_symmetry_equiv_pos_as_xyz
'x,y,z'
loop_
_atom_site_label
_atom_site_fract_x
_atom_site_fract_y
_atom_site_fract_z
_atom_site_occupancy
Tl1 0.745 0.653 0.491 1
Tl2 0.255 0.347 0.509 1
Ba1 0.432 0.754 0.864 1
Ba2 0.868 0.137 0.736 1
Ba3 0.132 0.863 0.264 1
Ba4 0.568 0.246 0.136 1
N1 0.000 0.000 0.000 1
# - Offset from the most stable computed form: 23 meV per atom
# - Space group: C2/m
# - Raw formation energy: -0.291 eV per atom

=====

# BaTlN3 PBE optimized geometry
data_BaTlN3
_chemical_formula_sum 'Ba1 Tl1 N3'
_symmetry_space_group_name_H-M 'P 1'
_symmetry_Int_Tables_number 1
_cell_length_a 5.095
_cell_length_b 5.095
_cell_length_c 5.095
_cell_angle_alpha 90.00
_cell_angle_beta 90.00
_cell_angle_gamma 90.00
loop_
_symmetry_equiv_pos_as_xyz
'x,y,z'
loop_
_atom_site_label
_atom_site_fract_x
_atom_site_fract_y
_atom_site_fract_z
_atom_site_occupancy
N1 0.500 0.000 0.000 1
N2 0.000 0.000 0.500 1
N3 0.000 0.500 0.000 1
Ba1 0.000 0.000 0.000 1
Tl1 0.500 0.500 0.500 1
# - Space group: Pm-3m
# - Raw formation energy: 1.921 eV per atom

=====

# Ba7Tl2N2 PBE optimized geometry
data_Ba7Tl2N2
_chemical_formula_sum 'Ba7 Tl2 N2'
_symmetry_space_group_name_H-M 'P 1'
_symmetry_Int_Tables_number 1
_cell_length_a 7.517
_cell_length_b 8.617
_cell_length_c 8.617
_cell_angle_alpha 97.57
_cell_angle_beta 96.40
_cell_angle_gamma 96.40
loop_
_symmetry_equiv_pos_as_xyz
'x,y,z'
loop_
_atom_site_label
_atom_site_fract_x
_atom_site_fract_y
_atom_site_fract_z
_atom_site_occupancy
N1 0.942 0.231 0.231 1
N2 0.058 0.769 0.769 1
Ba1 0.239 0.896 0.580 1
Ba2 0.761 0.104 0.420 1
Ba3 0.239 0.370 0.370 1
Ba4 0.761 0.630 0.630 1
Ba5 0.000 0.000 0.000 1
Ba6 0.761 0.420 0.104 1
Ba7 0.239 0.580 0.896 1
Tl1 0.500 0.272 0.728 1
Tl2 0.500 0.728 0.272 1
# - Space group: C2/m
# - Raw formation energy: -0.235 eV per atom

=====

# BaTlN PBE optimized geometry
data_BaTlN
_chemical_formula_sum 'Ba2 Tl2 N2'
_symmetry_space_group_name_H-M 'P 1'
_symmetry_Int_Tables_number 1
_cell_length_a 4.768
_cell_length_b 4.990
_cell_length_c 8.695
_cell_angle_alpha 107.14
_cell_angle_beta 90.00
_cell_angle_gamma 118.54
loop_
_symmetry_equiv_pos_as_xyz
'x,y,z'
loop_
_atom_site_label
_atom_site_fract_x
_atom_site_fract_y
_atom_site_fract_z
_atom_site_occupancy
Ba1 0.095 0.190 0.820 1
Ba2 0.905 0.810 0.180 1
N1 0.426 0.852 0.972 1
N2 0.574 0.148 0.028 1
Tl1 0.678 0.356 0.549 1
Tl2 0.322 0.644 0.451 1
# - Space group: C2/m
# - Raw formation energy: -0.372 eV per atom

=====

# BaTlN3 PBE optimized geometry
data_BaTlN3
_chemical_formula_sum 'Ba1 Tl1 N3'
_symmetry_space_group_name_H-M 'P 1'
_symmetry_Int_Tables_number 1
_cell_length_a 4.458
_cell_length_b 4.458
_cell_length_c 4.458
_cell_angle_alpha 90.00
_cell_angle_beta 90.00
_cell_angle_gamma 90.00
loop_
_symmetry_equiv_pos_as_xyz
'x,y,z'
loop_
_atom_site_label
_atom_site_fract_x
_atom_site_fract_y
_atom_site_fract_z
_atom_site_occupancy
N1 0.000 0.500 0.000 1
N2 0.500 0.000 0.000 1
N3 0.000 0.000 0.500 1
Tl1 0.000 0.000 0.000 1
Ba1 0.500 0.500 0.500 1
# - Space group: Pm-3m
# - Raw formation energy: 1.292 eV per atom